Material: RbAlC
Method: DFT, GGA-PBE
State: relaxed

Unit cell a=6.4654 b=6.4654 c=5.5986 alpha=90.00 beta=90.00 gamma=125.41
Fractional coordinates of all 6 atoms:
1 Al 0.0000 0.0000 0.0000
2 C 0.1086 0.8914 0.7500
3 Rb 0.3021 0.6979 0.2500
4 C 0.8914 0.1086 0.2500
5 Rb 0.6979 0.3021 0.7500
6 Al 0.0000 0.0000 0.5000

Output
energy of formation from the pure elements = 60.0 kJ per mole of atoms
electronic total energy = -24.13 eV per cell

Material: RbAlC
Method: DFT, GGA-PBE
State: relaxed

Unit cell a=6.9687 b=4.6985 c=6.2235 alpha=90.00 beta=115.84 gamma=90.00
Fractional coordinates of all 6 atoms:
1 C 0.0568 0.3600 0.3658
2 Rb 0.1053 0.5000 0.8840
3 Al 0.7166 0.5000 0.1874
4 C 0.0568 0.6400 0.3658
5 Rb 0.4829 0.0000 0.5613
6 Al 0.8996 0.0000 0.2228

Output
energy of formation from the pure elements = 36.2 kJ per mole of atoms
electronic total energy = -25.62 eV per cell

Material: RbAlC
Method: DFT, GGA-PBE
State: relaxed

Unit cell a=6.4171 b=3.7676 c=12.3764 alpha=90.00 beta=90.00 gamma=90.00
Fractional coordinates of all 12 atoms:
1 Rb 0.0705 0.2500 0.3403
2 C 0.9016 0.7500 0.9124
3 Al 0.9362 0.2500 0.9401
4 C 0.0984 0.2500 0.0876
5 Rb 0.5705 0.2500 0.1597
6 C 0.5984 0.2500 0.4124
7 Al 0.0638 0.7500 0.0599
8 Al 0.4362 0.2500 0.5599
9 Rb 0.9295 0.7500 0.6597
10 Rb 0.4295 0.7500 0.8403
11 C 0.4016 0.7500 0.5876
12 Al 0.5638 0.7500 0.4401

Output
energy of formation from the pure elements = 40.4 kJ per mole of atoms
electronic total energy = -50.71 eV per cell

Material: RbAlC
Method: DFT, GGA-PBE
State: relaxed

Unit cell a=7.1076 b=5.1562 c=4.7769 alpha=68.30 beta=95.22 gamma=78.41
Fractional coordinates of all 6 atoms:
1 Al 0.1844 0.4193 0.3618
2 C 0.4378 0.0474 0.4782
3 Al 0.2910 0.0163 0.1133
4 Rb 0.9384 0.8818 0.6436
5 C 0.4025 0.0856 0.7302
6 Rb 0.6074 0.4545 0.9474

Output
energy of formation from the pure elements = 36.9 kJ per mole of atoms
electronic total energy = -25.57 eV per cell

Material: RbAl3C
Method: DFT, GGA-PBE
State: relaxed

Unit cell a=6.3187 b=6.3187 c=6.3187 alpha=90.00 beta=90.00 gamma=90.00
Fractional coordinates of all 5 atoms:
1 C 0.5000 0.5000 0.5000
2 Al 0.0000 0.0000 0.5000
3 Rb 0.0000 0.0000 0.0000
4 Al 0.0000 0.5000 0.0000
5 Al 0.5000 0.0000 0.0000

Output
energy of formation from the pure elements = 278.9 kJ per mole of atoms
electronic total energy = -6.97 eV per cell

Material: RbAlC
Method: DFT, GGA-PBE
State: relaxed

Unit cell a=3.7286 b=4.8953 c=9.2316 alpha=90.00 beta=90.00 gamma=90.00
Fractional coordinates of all 6 atoms:
1 Rb 0.0000 0.0000 0.8312
2 C 0.5000 0.0000 0.5596
3 Rb 0.0000 0.5000 0.4757
4 C 0.5000 0.0000 0.4231
5 Al 0.5000 0.0000 0.2102
6 Al 0.5000 0.5000 0.0872

Output
energy of formation from the pure elements = 41.1 kJ per mole of atoms
electronic total energy = -25.31 eV per cell

Material: Rb2AlC
Method: DFT, GGA-PBE
State: relaxed

Unit cell a=5.8000 b=5.8000 c=5.8000 alpha=60.00 beta=60.00 gamma=60.00
Fractional coordinates of all 4 atoms:
1 Rb 0.7500 0.7500 0.7500
2 Rb 0.2500 0.2500 0.2500
3 Al 0.5000 0.5000 0.5000
4 C 0.0000 0.0000 0.0000

Output
energy of formation from the pure elements = 157.9 kJ per mole of atoms
electronic total energy = -8.36 eV per cell

Material: RbAlC
Method: DFT, GGA-PBE
State: relaxed

Unit cell a=4.8134 b=4.8134 c=14.6268 alpha=90.00 beta=90.00 gamma=90.00
Fractional coordinates of all 12 atoms:
1 C 0.5000 0.5286 0.5000
2 C 0.5000 0.4714 0.0000
3 Rb 0.9903 0.0000 0.7500
4 Al 0.5060 0.4940 0.1250
5 C 0.4714 0.5000 0.7500
6 Rb 0.0000 0.9903 0.0000
7 Rb 0.0000 0.0097 0.5000
8 Al 0.4940 0.5060 0.6250
9 C 0.5286 0.5000 0.2500
10 Al 0.5060 0.5060 0.3750
11 Rb 0.0097 0.0000 0.2500
12 Al 0.4940 0.4940 0.8750

Output
energy of formation from the pure elements = 71.7 kJ per mole of atoms
electronic total energy = -46.82 eV per cell

Material: RbAlC
Method: DFT, GGA-PBE
State: relaxed

Unit cell a=6.2163 b=5.8763 c=3.2858 alpha=90.00 beta=90.00 gamma=90.00
Fractional coordinates of all 6 atoms:
1 C 0.2500 0.5000 0.1296
2 Al 0.5000 0.5000 0.5000
3 Al 0.0000 0.5000 0.5000
4 C 0.7500 0.5000 0.8704
5 Rb 0.2500 0.0000 0.8227
6 Rb 0.7500 0.0000 0.1773

Output
energy of formation from the pure elements = 79.6 kJ per mole of atoms
electronic total energy = -22.92 eV per cell

Material: RbAlC
Method: DFT, GGA-PBE
State: relaxed

Unit cell a=17.5972 b=6.7890 c=6.6793 alpha=90.00 beta=160.62 gamma=90.00
Fractional coordinates of all 12 atoms:
1 Al 0.6351 0.3644 0.9055
2 C 0.3394 0.3405 0.0185
3 Rb 0.1832 0.4999 0.1831
4 C 0.1606 0.8405 0.4815
5 Al 0.1351 0.1356 0.4055
6 C 0.8394 0.1595 0.5185
7 Rb 0.3168 0.9999 0.3169
8 Rb 0.8168 0.5001 0.8169
9 Al 0.8649 0.8644 0.5945
10 Al 0.3649 0.6356 0.0945
11 C 0.6606 0.6595 0.9815
12 Rb 0.6832 0.0001 0.6831

Output
energy of formation from the pure elements = 31.8 kJ per mole of atoms
electronic total energy = -51.78 eV per cell

Material: RbAl3C
Method: DFT, GGA-PBE
State: relaxed

Unit cell a=4.6604 b=4.6604 c=4.6604 alpha=90.00 beta=90.00 gamma=90.00
Fractional coordinates of all 5 atoms:
1 Al 0.0000 0.5000 0.0000
2 C 0.0000 0.0000 0.0000
3 Al 0.0000 0.0000 0.5000
4 Al 0.5000 0.0000 0.0000
5 Rb 0.5000 0.5000 0.5000

Output
energy of formation from the pure elements = 98.7 kJ per mole of atoms
electronic total energy = -16.31 eV per cell

Material: RbAlC
Method: DFT, GGA-PBE
State: relaxed

Unit cell a=10.6121 b=5.5855 c=6.3137 alpha=90.00 beta=90.00 gamma=90.00
Fractional coordinates of all 12 atoms:
1 Rb 0.1549 0.7500 0.9843
2 Al 0.0000 0.0000 0.5000
3 Al 0.5000 0.0000 0.0000
4 Al 0.0000 0.5000 0.5000
5 C 0.0636 0.2500 0.6672
6 C 0.9364 0.7500 0.3328
7 C 0.4364 0.7500 0.1672
8 Rb 0.8451 0.2500 0.0157
9 C 0.5636 0.2500 0.8328
10 Rb 0.3451 0.2500 0.4843
11 Rb 0.6549 0.7500 0.5157
12 Al 0.5000 0.5000 0.0000

Output
energy of formation from the pure elements = 60.7 kJ per mole of atoms
electronic total energy = -48.19 eV per cell

no.,size of the total moment (μB/cell)
1,0.0
2,0.0
3,0.0
4,0.0
5,1.6
6,0.0
7,1.0
8,0.0
9,0.1
10,0.0
11,0.0
12,0.0